No. 1
FeH2Au | PBE | relaxed

As for the symmetry: No. 225. The density of states at the Fermi level comes out at 1.3358 states/eV per atom. The energy is -3.926 eV per atom.

```
4
Lattice="0.000 2.664 2.664 2.664 0.000 2.664 2.664 2.664 0.000" Properties=species:S:1:pos:R:3 pbc="T T T"
H 1.332 1.332 1.332
H 3.996 3.996 3.996
Au 2.664 2.664 2.664
Fe 0.000 0.000 0.000
```

No. 2
LaTmAl2Au4 | PBE | relaxed

As for the symmetry: No. 166. The density of states at the Fermi level comes out at 0.6417 states/eV per atom. The energy is -4.462 eV per atom.

```
8
Lattice="-0.428 2.570 3.773 2.644 -0.832 3.653 7.161 6.494 -0.826" Properties=species:S:1:pos:R:3 pbc="T T T"
La 0.000 0.000 0.000
Tm 4.689 4.116 3.300
Al 6.864 6.018 5.037
Al 2.513 2.214 1.563
Au 6.713 5.980 2.260
Au 4.486 3.828 6.259
Au 4.891 4.403 0.341
Au 2.664 2.251 4.340
```

No. 3
Tl3HRh | PBE | relaxed

As for the symmetry: No. 221. The density of states at the Fermi level comes out at 0.4910 states/eV per atom. The energy is -3.245 eV per atom.

```
5
Lattice="5.270 0.000 0.000 0.000 5.270 0.000 0.000 0.000 5.270" Properties=species:S:1:pos:R:3 pbc="T T T"
H 2.635 2.635 2.635
Tl 0.000 2.635 0.000
Tl 0.000 0.000 2.635
Tl 2.635 0.000 0.000
Rh 0.000 0.000 0.000
```